DFT (PBE-GGA) results for a geometry-optimized LaErGa4 structure.

energy of formation	-381	kJ/mol of formula units
relative energy among the computed polymorphs	0.000	eV per atom

a = 4.2589 Å, b = 4.2589 Å, c = 8.5292 Å
α = 90.00°, β = 90.00°, γ = 120.00°
Fractional positions:
Ga1 0.3333 0.6667 0.2358
Ga2 0.6667 0.3333 0.2358
Ga3 0.6667 0.3333 0.7642
Ga4 0.3333 0.6667 0.7642
Er1 0.0000 0.0000 0.0000
La1 0.0000 0.0000 0.5000